Entry 1:
# Sr2ThF8 (PBE-GGA, optimized geometry)
# volume = 13.70 Å³ per atom
# VASP energy = -138.39 eV/cell
data_Sr2ThF8
_symmetry_space_group_name_H-M 'I m m m'
_symmetry_Int_Tables_number 71
_symmetry_space_group_name_Hall '-I 2 2'
_cell_length_a 3.954
_cell_length_b 6.395
_cell_length_c 11.917
_cell_angle_alpha 90.00
_cell_angle_beta 90.00
_cell_angle_gamma 90.00
loop_
_atom_site_label
_atom_site_fract_x
_atom_site_fract_y
_atom_site_fract_z
_atom_site_occupancy
Sr1 0.000 0.000 0.175 1
Th1 0.000 0.000 0.500 1
F1 0.000 0.206 0.000 1
F2 0.000 0.255 0.348 1
F3 0.000 0.500 0.129 1



Entry 2:
# PrMg2Zn2 (PBE-GGA, optimized geometry)
# volume = 22.63 Å³ per atom
# relative energy among the computed polymorphs = 0 meV per atom
# VASP energy = -23.38 eV/cell
# energy of formation = -0.235 eV/atom
data_PrMg2Zn2
_symmetry_space_group_name_H-M 'I 4/m m m'
_symmetry_Int_Tables_number 139
_symmetry_space_group_name_Hall '-I 4 2'
_cell_length_a 4.319
_cell_length_b 4.319
_cell_length_c 12.131
_cell_angle_alpha 90.00
_cell_angle_beta 90.00
_cell_angle_gamma 90.00
loop_
_atom_site_label
_atom_site_fract_x
_atom_site_fract_y
_atom_site_fract_z
_atom_site_occupancy
Pr1 0.000 0.000 0.000 1
Mg1 0.000 0.500 0.250 1
Zn1 0.000 0.000 0.397 1



Entry 3:
# Ca3Ce2TmSe6 (PBE-GGA, optimized geometry)
# volume = 25.85 Å³ per atom
# VASP energy = -130.82 eV/cell
data_Ca3Ce2TmSe6
_symmetry_space_group_name_H-M 'C 1 2/m 1'
_symmetry_Int_Tables_number 12
_symmetry_space_group_name_Hall '-C 2y'
_cell_length_a 7.202
_cell_length_b 12.464
_cell_length_c 7.317
_cell_angle_alpha 90.00
_cell_angle_beta 109.16
_cell_angle_gamma 90.00
loop_
_atom_site_label
_atom_site_fract_x
_atom_site_fract_y
_atom_site_fract_z
_atom_site_occupancy
Ca1 0.000 0.000 0.000 1
Ca2 0.000 0.331 0.000 1
Ce1 0.000 0.166 0.500 1
Tm1 0.000 0.500 0.500 1
Se1 0.239 0.500 0.249 1
Se2 0.245 0.338 0.751 1